No. 1
Th2BiO | PBE | optimized geometry

```
Th2BiO
1.0
1.9727 1.1389 7.2866
-1.9727 1.1389 7.2866
0.0000 -2.2779 7.2866
Th Bi O
2 1 1
Direct
0.2278 0.2278 0.2278
0.7722 0.7722 0.7722
0.0000 0.0000 0.0000
0.5000 0.5000 0.5000
```

symmetry	R-3m (166)
energy	-7.348	eV/atom
total moment	0.0	Bohr magnetons per cell

No. 2
ThBiO | PBE | optimized geometry

```
ThBiO
1.0
3.9777 0.0000 0.0000
-1.9889 3.4448 0.0000
0.0000 0.0000 5.3078
Th Bi O
1 1 1
Direct
0.0000 0.0000 0.0000
0.6667 0.3333 0.5000
0.3333 0.6667 0.0000
```

energy above the lowest structure with this stoichiometry	0	meV/atom
symmetry	P-6m2 (187)
total moment	0.0	Bohr magnetons per cell

No. 3
ThBiO | PBE | optimized geometry

```
ThBiO
1.0
-1.8696 1.8696 10.9582
1.8696 -1.8696 10.9582
1.8696 1.8696 -10.9582
Th Bi O
2 2 2
Direct
0.0703 0.0703 0.0000
0.9297 0.9297 0.0000
0.3229 0.3229 0.0000
0.6771 0.6771 0.0000
0.0000 0.5000 0.5000
0.5000 0.0000 0.5000
```

energy above the lowest structure with this stoichiometry	312	meV/atom
symmetry	I4/mmm (139)
total moment	0.0	Bohr magnetons per cell